Arrangement P

DFT (PBE-GGA) results for an optimized crystal structure of LiNi3Pt.

```
data_LiNi3Pt
_chemical_formula_sum 'Li1 Ni3 Pt1'
_cell_length_a 4.647
_cell_length_b 4.647
_cell_length_c 4.647
_cell_angle_alpha 90.00
_cell_angle_beta 90.00
_cell_angle_gamma 90.00
_symmetry_space_group_name_H-M 'P 1'
_symmetry_Int_Tables_number 1
loop_
_symmetry_equiv_pos_as_xyz
'x,y,z'
loop_
_atom_site_label
_atom_site_type_symbol
_atom_site_fract_x
_atom_site_fract_y
_atom_site_fract_z
Li1 Li 0.000 0.000 0.000
Ni1 Ni 0.000 0.500 0.500
Ni2 Ni 0.500 0.000 0.500
Ni3 Ni 0.500 0.500 0.000
Pt1 Pt 0.500 0.500 0.500
```

---

Arrangement Q

DFT (PBE-GGA) results for an optimized crystal structure of LiNi3Pt.

```
data_LiNi3Pt
_chemical_formula_sum 'Li1 Ni3 Pt1'
_cell_length_a 3.912
_cell_length_b 3.912
_cell_length_c 3.912
_cell_angle_alpha 90.00
_cell_angle_beta 90.00
_cell_angle_gamma 90.00
_symmetry_space_group_name_H-M 'P 1'
_symmetry_Int_Tables_number 1
loop_
_symmetry_equiv_pos_as_xyz
'x,y,z'
loop_
_atom_site_label
_atom_site_type_symbol
_atom_site_fract_x
_atom_site_fract_y
_atom_site_fract_z
Li1 Li 0.000 0.000 0.000
Ni1 Ni 0.000 0.000 0.500
Ni2 Ni 0.000 0.500 0.000
Ni3 Ni 0.500 0.000 0.000
Pt1 Pt 0.500 0.500 0.500
```

---

The structure with the greatest stability is arrangement Q.

---

Arrangement P

DFT (PBE-GGA) results for an optimized crystal structure of LiPuNi.

```
data_LiPuNi
_chemical_formula_sum 'Li1 Pu1 Ni1'
_cell_length_a 5.877
_cell_length_b 5.877
_cell_length_c 5.877
_cell_angle_alpha 149.13
_cell_angle_beta 149.13
_cell_angle_gamma 44.21
_symmetry_space_group_name_H-M 'P 1'
_symmetry_Int_Tables_number 1
loop_
_symmetry_equiv_pos_as_xyz
'x,y,z'
loop_
_atom_site_label
_atom_site_type_symbol
_atom_site_fract_x
_atom_site_fract_y
_atom_site_fract_z
Li1 Li 0.000 0.000 0.000
Pu1 Pu 0.720 0.720 0.000
Ni1 Ni 0.379 0.379 0.000
```

---

Arrangement Q

DFT (PBE-GGA) results for an optimized crystal structure of LiPuNi.

```
data_LiPuNi
_chemical_formula_sum 'Li2 Pu2 Ni2'
_cell_length_a 14.906
_cell_length_b 2.595
_cell_length_c 2.595
_cell_angle_alpha 60.15
_cell_angle_beta 90.00
_cell_angle_gamma 90.00
_symmetry_space_group_name_H-M 'P 1'
_symmetry_Int_Tables_number 1
loop_
_symmetry_equiv_pos_as_xyz
'x,y,z'
loop_
_atom_site_label
_atom_site_type_symbol
_atom_site_fract_x
_atom_site_fract_y
_atom_site_fract_z
Li1 Li 0.137 0.000 0.000
Li2 Li 0.863 0.000 0.000
Pu1 Pu 0.330 0.558 0.558
Pu2 Pu 0.670 0.558 0.558
Ni1 Ni 0.000 0.667 0.667
Ni2 Ni 0.500 0.890 0.890
```

---

The structure with the greatest stability is arrangement P.